(1)
VASP calculation (meta-GGA SCAN) on a PBEsol-optimized structure of KLa7Cu4O16.

Cell lengths 5.3278, 5.3278, 25.7205 Å; angles 90.00, 90.00, 90.00 degrees
Space group I4mm (No. 107)
Symmetry-distinct sites (fractional):
K (0.0000, 0.0000, 0.0000) [2 per cell]
La (0.0000, 0.0000, 0.1389) [2 per cell]
La (0.0000, 0.0000, 0.5031) [2 per cell]
La (0.0000, 0.0000, 0.6426) [2 per cell]
La (0.0000, 0.5000, 0.2532) [4 per cell]
La (0.0000, 0.5000, 0.3941) [4 per cell]
Cu (0.0000, 0.0000, 0.3214) [2 per cell]
Cu (0.0000, 0.0000, 0.8219) [2 per cell]
Cu (0.0000, 0.5000, 0.0692) [4 per cell]
O (0.0000, 0.0000, 0.2309) [2 per cell]
O (0.0000, 0.0000, 0.4126) [2 per cell]
O (0.0000, 0.0000, 0.7379) [2 per cell]
O (0.0000, 0.0000, 0.8991) [2 per cell]
O (0.0000, 0.5000, 0.1642) [4 per cell]
O (0.0000, 0.5000, 0.4806) [4 per cell]
O (0.2419, 0.2419, 0.5764) [8 per cell]
O (0.2462, 0.2462, 0.3212) [8 per cell]

Calculated values
As for the size of the total moment: 2.09 Bohr magnetons per cell. For the volume, the calculation gives 13.04 Å³/atom. As for the density of states at the Fermi level: 6.32 states/eV per cell. Its theoretical density is 6.92 g/cm³. The value obtained for the uncorrected energy is -19.49 eV per atom.

(2)
VASP calculation (meta-GGA SCAN) on a PBEsol-optimized structure of In2Sn2Hg.

Cell lengths 5.0086, 5.0086, 11.5997 Å; angles 90.00, 90.00, 90.00 degrees
Space group I4/mmm (No. 139)
Symmetry-distinct sites (fractional):
In (0.0000, 0.5000, 0.2500) [4 per cell]
Sn (0.0000, 0.0000, 0.1188) [4 per cell]
Hg (0.0000, 0.0000, 0.5000) [2 per cell]

Calculated values
As for the size of the total moment: 0.00 Bohr magnetons per cell. For the volume, the calculation gives 29.10 Å³/atom. As for the density of states at the Fermi level: 2.74 states/eV per cell. For the formation energy, the calculation gives 0.071 eV/atom. Its theoretical density is 7.62 g/cm³. The value obtained for the uncorrected energy is -41.29 eV per atom.

(3)
VASP calculation (meta-GGA SCAN) on a PBEsol-optimized structure of RbLiGaN2.

Cell lengths 5.0994, 5.0994, 5.6796 Å; angles 90.00, 90.00, 90.00 degrees
Space group P4/mmm (No. 123)
Symmetry-distinct sites (fractional):
Rb (0.0000, 0.0000, 0.0000) [1 per cell]
Li (0.5000, 0.5000, 0.5000) [1 per cell]
Ga (0.0000, 0.0000, 0.5000) [1 per cell]
N (0.0000, 0.5000, 0.0000) [2 per cell]

Calculated values
As for the size of the total moment: 3.19 Bohr magnetons per cell. For the volume, the calculation gives 29.54 Å³/atom. As for the density of states at the Fermi level: 2.89 states/eV per cell. Its theoretical density is 2.14 g/cm³. The value obtained for the uncorrected energy is -9.63 eV per atom.

(4)
VASP calculation (meta-GGA SCAN) on a PBEsol-optimized structure of Sr7Nb6O21.

Cell lengths 5.6869, 5.6869, 48.5822 Å; angles 90.00, 90.00, 120.00 degrees
Space group R-3 (No. 148, hexagonal axes)
Symmetry-distinct sites (fractional):
Sr (0.0000, 0.0000, 0.0000) [3 per cell]
Sr (0.0000, 0.0000, 0.1528) [6 per cell]
Sr (0.0000, 0.0000, 0.2320) [6 per cell]
Sr (0.0000, 0.0000, 0.3842) [6 per cell]
Nb (0.0000, 0.0000, 0.0729) [6 per cell]
Nb (0.0000, 0.0000, 0.3094) [6 per cell]
Nb (0.0000, 0.0000, 0.4571) [6 per cell]
O (0.0000, 0.5000, 0.0000) [9 per cell]
O (0.0016, 0.5693, 0.8593) [18 per cell]
O (0.0060, 0.5301, 0.6195) [18 per cell]
O (0.0076, 0.4569, 0.2396) [18 per cell]

Calculated values
As for the size of the total moment: 0.00 Bohr magnetons per cell. For the volume, the calculation gives 13.34 Å³/atom. As for the density of states at the Fermi level: 12.70 states/eV per cell. Its theoretical density is 5.52 g/cm³. The value obtained for the uncorrected energy is -17.38 eV per atom.

- What is the uncorrected energy in the third record?
  -9.63 eV per atom

- What is the formula in the first record?
  KLa7Cu4O16

What did the first record say?
VASP calculation (meta-GGA SCAN) on a PBEsol-optimized structure of KLa7Cu4O16.

Cell lengths 5.3278, 5.3278, 25.7205 Å; angles 90.00, 90.00, 90.00 degrees
Space group I4mm (No. 107)
Symmetry-distinct sites (fractional):
K (0.0000, 0.0000, 0.0000) [2 per cell]
La (0.0000, 0.0000, 0.1389) [2 per cell]
La (0.0000, 0.0000, 0.5031) [2 per cell]
La (0.0000, 0.0000, 0.6426) [2 per cell]
La (0.0000, 0.5000, 0.2532) [4 per cell]
La (0.0000, 0.5000, 0.3941) [4 per cell]
Cu (0.0000, 0.0000, 0.3214) [2 per cell]
Cu (0.0000, 0.0000, 0.8219) [2 per cell]
Cu (0.0000, 0.5000, 0.0692) [4 per cell]
O (0.0000, 0.0000, 0.2309) [2 per cell]
O (0.0000, 0.0000, 0.4126) [2 per cell]
O (0.0000, 0.0000, 0.7379) [2 per cell]
O (0.0000, 0.0000, 0.8991) [2 per cell]
O (0.0000, 0.5000, 0.1642) [4 per cell]
O (0.0000, 0.5000, 0.4806) [4 per cell]
O (0.2419, 0.2419, 0.5764) [8 per cell]
O (0.2462, 0.2462, 0.3212) [8 per cell]

Calculated values
As for the size of the total moment: 2.09 Bohr magnetons per cell. For the volume, the calculation gives 13.04 Å³/atom. As for the density of states at the Fermi level: 6.32 states/eV per cell. Its theoretical density is 6.92 g/cm³. The value obtained for the uncorrected energy is -19.49 eV per atom.